A relaxed structure of Ho3Zn3Cu2. Source: the Alexandria database, functional PBE.

extended XYZ file:
```
16
Lattice="-0.446 1.428 -4.141 0.990 -5.273 0.415 -14.438 -2.662 0.637" Properties=species:S:1:pos:R:3 pbc="T T T"
Ho -5.281 -4.066 -3.174
Ho -12.767 -3.206 0.269
Ho -1.128 -3.300 -3.358
Ho -8.613 -2.440 0.086
Ho -3.644 -1.072 -2.318
Ho -10.250 -5.435 -0.771
Zn -6.669 -1.574 -2.165
Zn -13.257 -6.045 -0.657
Zn -0.638 -0.462 -2.431
Zn -7.226 -4.933 -0.923
Zn -3.104 -3.670 -0.931
Zn -10.790 -2.837 -2.157
Cu -12.752 -4.377 -2.477
Cu -5.451 -2.924 -0.421
Cu -8.443 -3.583 -2.667
Cu -1.142 -2.129 -0.612
```

Computed properties:
SG: No. 63
Energy of formation in eV/atom: -0.32
E above lowest polymorph in meV/atom: 0.0
Total energy in eV per atom: -3.537